Material: TePSe2N
Method: DFT, SCAN
State: single point on PBEsol structure

Summary:
**Raw formation energy**: 6.8 eV/f.u.
**Crystal system**: tetragonal
**DFT total energy**: -18.07 eV per atom
**Space group**: No. 123

Unit cell a=5.2757 b=5.2757 c=3.8633 alpha=90.00 beta=90.00 gamma=90.00
Closest atoms and distances in Å follow each position.
Fractional coordinates of all 5 atoms:
Te1 0.0000 0.0000 0.0000  2 N 1.93
P1 0.5000 0.5000 0.5000  8 Se 3.27
Se1 0.0000 0.5000 0.0000  2 Te 2.64
Se2 0.5000 0.0000 0.0000  2 Te 2.64
N1 0.0000 0.0000 0.5000  2 Te 1.93

***

Material: TlPSe2N
Method: DFT, SCAN
State: single point on PBEsol structure

Summary:
**Raw formation energy**: 1.9 eV/f.u.
**Crystal system**: tetragonal
**DFT total energy**: -26.05 eV per atom
**Space group**: No. 123

Unit cell a=5.2763 b=5.2763 c=3.2657 alpha=90.00 beta=90.00 gamma=90.00
Closest atoms and distances in Å follow each position.
Fractional coordinates of all 5 atoms:
Tl1 0.0000 0.0000 0.0000  8 Se 3.10, 2 Tl 3.27
P1 0.5000 0.5000 0.5000  2 N 1.63
Se1 0.0000 0.5000 0.5000  2 P 2.64
Se2 0.5000 0.0000 0.5000  2 P 2.64
N1 0.5000 0.5000 0.0000  2 P 1.63

***

Material: PWSe2N
Method: DFT, SCAN
State: single point on PBEsol structure

Summary:
**Raw formation energy**: 5.0 eV/f.u.
**Crystal system**: tetragonal
**DFT total energy**: -24.91 eV per atom
**Space group**: No. 123

Unit cell a=4.8607 b=4.8607 c=3.1944 alpha=90.00 beta=90.00 gamma=90.00
Closest atoms and distances in Å follow each position.
Fractional coordinates of all 5 atoms:
P1 0.0000 0.0000 0.0000  2 N 1.60
W1 0.5000 0.5000 0.5000  8 Se 2.91, 2 W 3.19
Se1 0.0000 0.5000 0.0000  2 P 2.43
Se2 0.5000 0.0000 0.0000  2 P 2.43
N1 0.0000 0.0000 0.5000  2 P 1.60

***

Material: PWSeN2
Method: DFT, SCAN
State: single point on PBEsol structure

Summary:
**Raw formation energy**: 3.4 eV/f.u.
**Crystal system**: tetragonal
**DFT total energy**: -23.07 eV per atom
**Space group**: No. 123

Unit cell a=3.8612 b=3.8612 c=5.2063 alpha=90.00 beta=90.00 gamma=90.00
Closest atoms and distances in Å follow each position.
Fractional coordinates of all 5 atoms:
P1 0.0000 0.0000 0.0000  4 Se 2.73
W1 0.5000 0.5000 0.5000  4 N 1.93
Se1 0.5000 0.5000 0.0000  2 W 2.60, 4 P 2.73
N1 0.0000 0.5000 0.5000  2 W 1.93
N2 0.5000 0.0000 0.5000  2 W 1.93

***

Material: SiTe2PN
Method: DFT, SCAN
State: single point on PBEsol structure

Summary:
**Raw formation energy**: 3.5 eV/f.u.
**Crystal system**: tetragonal
**DFT total energy**: -20.14 eV per atom
**Space group**: No. 123

Unit cell a=5.5308 b=5.5308 c=3.2317 alpha=90.00 beta=90.00 gamma=90.00
Closest atoms and distances in Å follow each position.
Fractional coordinates of all 5 atoms:
Si1 0.0000 0.0000 0.0000  8 Te 3.20, 2 Si 3.23
Te1 0.0000 0.5000 0.5000  2 P 2.77
Te2 0.5000 0.0000 0.5000  2 P 2.77
P1 0.5000 0.5000 0.5000  2 N 1.62
N1 0.5000 0.5000 0.0000  2 P 1.62

***

Material: SnPN2
Method: DFT, SCAN
State: single point on PBEsol structure

Summary:
**Raw formation energy**: 0.5 eV/f.u.
**Crystal system**: trigonal
**DFT total energy**: -16.10 eV per atom
**Excess energy over the best structure of this formula in the dataset**: 0.037 eV per atom
**Space group**: No. 166

Unit cell a=6.8448 b=6.8448 c=6.8448 alpha=23.93 beta=23.93 gamma=23.93
Closest atoms and distances in Å follow each position.
Fractional coordinates of all 4 atoms:
Sn1 0.0000 0.0000 0.0000  2 N 2.41
P1 0.5000 0.5000 0.5000  6 N 1.88
N1 0.1208 0.1208 0.1208  3 P 1.88
N2 0.8792 0.8792 0.8792  3 P 1.88

***

Material: SnPN2
Method: DFT, SCAN
State: single point on PBEsol structure

Summary:
**Raw formation energy**: 0.3 eV/f.u.
**Crystal system**: tetragonal
**DFT total energy**: -16.14 eV per atom
**Excess energy over the best structure of this formula in the dataset**: 0.000 eV per atom
**Space group**: No. 122

Unit cell a=5.2673 b=5.2673 c=5.2673 alpha=120.91 beta=120.91 gamma=88.43
Closest atoms and distances in Å follow each position.
Fractional coordinates of all 8 atoms:
Sn1 0.0000 0.0000 0.0000  8 N 2.87-3.12, 4 Sn 3.21, 4 P 3.21
Sn2 0.7500 0.2500 0.5000  8 N 2.87-3.12, 4 Sn 3.21, 4 P 3.21
P1 0.2500 0.7500 0.5000  4 N 1.62
P2 0.5000 0.5000 0.0000  4 N 1.62
N1 0.3333 0.6250 0.2083  2 P 1.62
N2 0.3750 0.5833 0.7083  2 P 1.62
N3 0.4167 0.1250 0.7917  2 P 1.62
N4 0.8750 0.6667 0.2917  2 P 1.62

***

Material: Sr3PN
Method: DFT, SCAN
State: single point on PBEsol structure

Summary:
**Raw formation energy**: -4.9 eV/f.u.
**Crystal system**: cubic
**DFT total energy**: -18.28 eV per atom
**Excess energy over the best structure of this formula in the dataset**: 0.000 eV per atom
**Space group**: No. 221

Unit cell a=5.0149 b=5.0149 c=5.0149 alpha=90.00 beta=90.00 gamma=90.00
Closest atoms and distances in Å follow each position.
Fractional coordinates of all 5 atoms:
Sr1 0.0000 0.0000 0.5000  2 N 2.51
Sr2 0.0000 0.5000 0.0000  2 N 2.51
Sr3 0.5000 0.0000 0.0000  2 N 2.51
P1 0.5000 0.5000 0.5000  12 Sr 3.55
N1 0.0000 0.0000 0.0000  6 Sr 2.51

***

Material: SrTePN2
Method: DFT, SCAN
State: single point on PBEsol structure

Summary:
**Raw formation energy**: 7.9 eV/f.u.
**Crystal system**: tetragonal
**DFT total energy**: -16.12 eV per atom
**Space group**: No. 123

Unit cell a=4.5737 b=4.5737 c=6.6326 alpha=90.00 beta=90.00 gamma=90.00
Closest atoms and distances in Å follow each position.
Fractional coordinates of all 5 atoms:
Sr1 0.0000 0.0000 0.0000  4 N 2.29
Te1 0.0000 0.0000 0.5000  4 P 3.23, 2 Sr 3.32
P1 0.5000 0.5000 0.5000  4 Te 3.23
N1 0.0000 0.5000 0.0000  2 Sr 2.29
N2 0.5000 0.0000 0.0000  2 Sr 2.29

***

Material: TaPN2
Method: DFT, SCAN
State: single point on PBEsol structure

Summary:
**Raw formation energy**: -0.5 eV/f.u.
**Crystal system**: trigonal
**DFT total energy**: -24.01 eV per atom
**Space group**: No. 166

Unit cell a=6.4687 b=6.4687 c=6.4687 alpha=24.43 beta=24.43 gamma=24.43
Closest atoms and distances in Å follow each position.
Fractional coordinates of all 4 atoms:
Ta1 0.0000 0.0000 0.0000  2 N 2.18
P1 0.5000 0.5000 0.5000  6 N 1.85
N1 0.1158 0.1158 0.1158  3 P 1.85
N2 0.8842 0.8842 0.8842  3 P 1.85

***

Material: Tc2PN
Method: DFT, SCAN
State: single point on PBEsol structure

Summary:
**Raw formation energy**: -0.4 eV/f.u.
**Crystal system**: tetragonal
**DFT total energy**: -22.55 eV per atom
**Space group**: No. 122

Unit cell a=5.8144 b=5.8144 c=5.8144 alpha=129.76 beta=129.76 gamma=73.79
Closest atoms and distances in Å follow each position.
Fractional coordinates of all 8 atoms:
Tc1 0.0683 0.6250 0.9433  2 N 1.95
Tc2 0.3750 0.3183 0.4433  2 N 1.95
Tc3 0.6817 0.1250 0.0567  2 N 1.95
Tc4 0.8750 0.9317 0.5567  2 N 1.95
P1 0.2500 0.7500 0.5000  4 Tc 2.27
P2 0.5000 0.5000 0.0000  4 Tc 2.27
N1 0.0000 0.0000 0.0000  4 Tc 1.95
N2 0.7500 0.2500 0.5000  4 Tc 1.95

***

Material: Tc3PN
Method: DFT, SCAN
State: single point on PBEsol structure

Summary:
**Raw formation energy**: 1.2 eV/f.u.
**Crystal system**: cubic
**DFT total energy**: -24.72 eV per atom
**Space group**: No. 221

Unit cell a=3.9567 b=3.9567 c=3.9567 alpha=90.00 beta=90.00 gamma=90.00
Closest atoms and distances in Å follow each position.
Fractional coordinates of all 5 atoms:
Tc1 0.0000 0.0000 0.5000  2 N 1.98
Tc2 0.0000 0.5000 0.0000  2 N 1.98
Tc3 0.5000 0.0000 0.0000  2 N 1.98
P1 0.5000 0.5000 0.5000  12 Tc 2.80
N1 0.0000 0.0000 0.0000  6 Tc 1.98

***

Material: Te2PN2
Method: DFT, SCAN
State: single point on PBEsol structure

Summary:
**Raw formation energy**: 7.7 eV/f.u.
**Crystal system**: tetragonal
**DFT total energy**: -19.16 eV per atom
**Space group**: No. 123

Unit cell a=3.9040 b=3.9040 c=6.5652 alpha=90.00 beta=90.00 gamma=90.00
Closest atoms and distances in Å follow each position.
Fractional coordinates of all 5 atoms:
Te1 0.0000 0.0000 0.0000  4 P 2.76
Te2 0.0000 0.0000 0.5000  4 N 1.95
P1 0.5000 0.5000 0.0000  4 Te 2.76
N1 0.0000 0.5000 0.5000  2 Te 1.95
N2 0.5000 0.0000 0.5000  2 Te 1.95

***

Material: Te2PWN
Method: DFT, SCAN
State: single point on PBEsol structure

Summary:
**Raw formation energy**: 3.2 eV/f.u.
**Crystal system**: tetragonal
**DFT total energy**: -32.14 eV per atom
**Space group**: No. 123

Unit cell a=5.3040 b=5.3040 c=3.7641 alpha=90.00 beta=90.00 gamma=90.00
Closest atoms and distances in Å follow each position.
Fractional coordinates of all 5 atoms:
Te1 0.0000 0.5000 0.0000  2 W 2.65
Te2 0.5000 0.0000 0.0000  2 W 2.65
P1 0.0000 0.0000 0.5000  8 Te 3.25
W1 0.5000 0.5000 0.0000  2 N 1.88
N1 0.5000 0.5000 0.5000  2 W 1.88

***

Material: YTe2PN
Method: DFT, SCAN
State: single point on PBEsol structure

Summary:
**Raw formation energy**: 3.4 eV/f.u.
**Crystal system**: tetragonal
**DFT total energy**: -23.72 eV per atom
**Space group**: No. 123

Unit cell a=5.8168 b=5.8168 c=4.0077 alpha=90.00 beta=90.00 gamma=90.00
Closest atoms and distances in Å follow each position.
Fractional coordinates of all 5 atoms:
Y1 0.0000 0.0000 0.0000  2 N 2.00
Te1 0.0000 0.5000 0.0000  2 Y 2.91
Te2 0.5000 0.0000 0.0000  2 Y 2.91
P1 0.5000 0.5000 0.5000  8 Te 3.53
N1 0.0000 0.0000 0.5000  2 Y 2.00

***

Material: YTePN2
Method: DFT, SCAN
State: single point on PBEsol structure

Summary:
**Raw formation energy**: 4.7 eV/f.u.
**Crystal system**: tetragonal
**DFT total energy**: -17.87 eV per atom
**Space group**: No. 123

Unit cell a=4.2359 b=4.2359 c=6.3311 alpha=90.00 beta=90.00 gamma=90.00
Closest atoms and distances in Å follow each position.
Fractional coordinates of all 5 atoms:
Y1 0.0000 0.0000 0.0000  4 N 2.12
Te1 0.0000 0.0000 0.5000  4 P 3.00, 2 Y 3.17
P1 0.5000 0.5000 0.5000  4 Te 3.00
N1 0.0000 0.5000 0.0000  2 Y 2.12
N2 0.5000 0.0000 0.0000  2 Y 2.12

***

Material: Tl3PN
Method: DFT, SCAN
State: single point on PBEsol structure

Summary:
**Raw formation energy**: 6.3 eV/f.u.
**Crystal system**: cubic
**DFT total energy**: -46.09 eV per atom
**Space group**: No. 221

Unit cell a=5.3898 b=5.3898 c=5.3898 alpha=90.00 beta=90.00 gamma=90.00
Closest atoms and distances in Å follow each position.
Fractional coordinates of all 5 atoms:
Tl1 0.0000 0.0000 0.5000  2 P 2.69
Tl2 0.0000 0.5000 0.0000  2 P 2.69
Tl3 0.5000 0.0000 0.0000  2 P 2.69
P1 0.0000 0.0000 0.0000  6 Tl 2.69
N1 0.5000 0.5000 0.5000  12 Tl 3.81

***

Material: U2PN2
Method: DFT, SCAN
State: single point on PBEsol structure

Summary:
**Raw formation energy**: -7.1 eV/f.u.
**Crystal system**: trigonal
**DFT total energy**: -48.62 eV per atom
**Space group**: No. 164

Unit cell a=3.7325 b=3.7325 c=6.4131 alpha=90.00 beta=90.00 gamma=120.00
Closest atoms and distances in Å follow each position.
Fractional coordinates of all 5 atoms:
U1 0.3333 0.6667 0.2781  4 N 2.22-2.24
U2 0.6667 0.3333 0.7219  4 N 2.22-2.24
P1 0.0000 0.0000 0.0000  6 U 2.80
N1 0.3333 0.6667 0.6251  4 U 2.22-2.24
N2 0.6667 0.3333 0.3749  4 U 2.22-2.24

***

Material: V3PN
Method: DFT, SCAN
State: single point on PBEsol structure

Summary:
**Raw formation energy**: -5.2 eV/f.u.
**Crystal system**: orthorhombic
**DFT total energy**: -15.48 eV per atom
**Space group**: No. 63

Unit cell a=5.0383 b=5.0383 c=7.3191 alpha=90.00 beta=90.00 gamma=144.45
Closest atoms and distances in Å follow each position.
Fractional coordinates of all 10 atoms:
V1 0.0653 0.9347 0.7500  2 N 1.93
V2 0.3662 0.6338 0.5509  2 N 2.04
V3 0.3662 0.6338 0.9491  2 N 2.04
V4 0.6338 0.3662 0.0509  2 N 2.04
V5 0.6338 0.3662 0.4491  2 N 2.04
V6 0.9347 0.0653 0.2500  2 N 1.93
P1 0.2518 0.7482 0.2500  8 V 2.33-2.46
P2 0.7482 0.2518 0.7500  8 V 2.33-2.46
N1 0.0000 0.0000 0.0000  6 V 1.93-2.04
N2 0.0000 0.0000 0.5000  6 V 1.93-2.04

***

Material: ZrPN3
Method: DFT, SCAN
State: single point on PBEsol structure

Summary:
**Raw formation energy**: -2.5 eV/f.u.
**Crystal system**: cubic
**DFT total energy**: -14.28 eV per atom
**Space group**: No. 221

Unit cell a=3.5219 b=3.5219 c=3.5219 alpha=90.00 beta=90.00 gamma=90.00
Closest atoms and distances in Å follow each position.
Fractional coordinates of all 5 atoms:
Zr1 0.0000 0.0000 0.0000  12 N 2.49
P1 0.5000 0.5000 0.5000  6 N 1.76
N1 0.0000 0.5000 0.5000  2 P 1.76
N2 0.5000 0.0000 0.5000  2 P 1.76
N3 0.5000 0.5000 0.0000  2 P 1.76